[1]
# PBE AcTb2IrO8, relaxed
# N(E_F): 0.516 states/eV per atom
# Calculated total energy: -89.70 eV per formula unit
# ΔE_f (raw): -2.317 eV/atom
data_AcTb2IrO8
_cell_length_a 5.120
_cell_length_b 7.069
_cell_length_c 5.123
_cell_angle_alpha 90.00
_cell_angle_beta 90.91
_cell_angle_gamma 90.00
_space_group_name_H-M_alt 'P 1 2/m 1'
_space_group_IT_number 10
_space_group_name_Hall '-P 2y'
loop_
_atom_site_label
_atom_site_type_symbol
_atom_site_fract_x
_atom_site_fract_y
_atom_site_fract_z
Ac1 Ac 0.000 0.000 0.000
Tb1 Tb 0.500 0.253 0.500
Ir1 Ir 0.000 0.500 0.000
O1 O 0.188 0.303 0.187
O2 O 0.264 0.500 0.735
O3 O 0.322 0.000 0.676

***

[2]
# PBE TaAsNF2, relaxed
# Excess energy over the best structure of this formula in the dataset: 0.00 eV/f.u.
# N(E_F): 0.609 states/eV per atom
# Calculated total energy: -32.75 eV per formula unit
# ΔE_f (raw): -0.836 eV/atom
data_TaAsNF2
_cell_length_a 4.135
_cell_length_b 4.135
_cell_length_c 4.105
_cell_angle_alpha 90.00
_cell_angle_beta 90.00
_cell_angle_gamma 90.00
_space_group_name_H-M_alt 'P 4/m m m'
_space_group_IT_number 123
_space_group_name_Hall '-P 4 2'
loop_
_atom_site_label
_atom_site_type_symbol
_atom_site_fract_x
_atom_site_fract_y
_atom_site_fract_z
Ta1 Ta 0.000 0.000 0.000
As1 As 0.500 0.500 0.500
N1 N 0.000 0.000 0.500
F1 F 0.000 0.500 0.000

***

[3]
# PBE ZnSiI3, relaxed
# Excess energy over the best structure of this formula in the dataset: 1.08 eV/f.u.
# N(E_F): 0.247 states/eV per atom
# Calculated total energy: -9.30 eV per formula unit
# ΔE_f (raw): 0.409 eV/atom
data_ZnSiI3
_cell_length_a 5.551
_cell_length_b 5.551
_cell_length_c 5.551
_cell_angle_alpha 90.00
_cell_angle_beta 90.00
_cell_angle_gamma 90.00
_space_group_name_H-M_alt 'P m -3 m'
_space_group_IT_number 221
_space_group_name_Hall '-P 4 2 3'
loop_
_atom_site_label
_atom_site_type_symbol
_atom_site_fract_x
_atom_site_fract_y
_atom_site_fract_z
Zn1 Zn 0.000 0.000 0.000
Si1 Si 0.500 0.500 0.500
I1 I 0.000 0.000 0.500

***

[4]
# PBE RbBiAu, relaxed
# Formation energy: -25.8 kJ/mol of atoms
# Excess energy over the best structure of this formula in the dataset: 0.07 eV/f.u.
# N(E_F): 0.240 states/eV per atom
# Calculated total energy: -8.93 eV per formula unit
data_RbBiAu
_cell_length_a 6.674
_cell_length_b 8.303
_cell_length_c 7.721
_cell_angle_alpha 90.00
_cell_angle_beta 90.00
_cell_angle_gamma 90.00
_space_group_name_H-M_alt 'P b c m'
_space_group_IT_number 57
_space_group_name_Hall '-P 2c 2b'
loop_
_atom_site_label
_atom_site_type_symbol
_atom_site_fract_x
_atom_site_fract_y
_atom_site_fract_z
Rb1 Rb 0.104 0.108 0.250
Bi1 Bi 0.413 0.750 0.000
Au1 Au 0.404 0.029 0.750

***

[5]
# PBE Tb2GaPbO6, relaxed
# N(E_F): 0.255 states/eV per atom
# Calculated total energy: -67.95 eV per formula unit
# ΔE_f (raw): -2.221 eV/atom
data_Tb2GaPbO6
_cell_length_a 5.324
_cell_length_b 5.324
_cell_length_c 5.361
_cell_angle_alpha 90.00
_cell_angle_beta 90.00
_cell_angle_gamma 90.00
_space_group_name_H-M_alt 'P 4 m m'
_space_group_IT_number 99
_space_group_name_Hall 'P 4 -2'
loop_
_atom_site_label
_atom_site_type_symbol
_atom_site_fract_x
_atom_site_fract_y
_atom_site_fract_z
Tb1 Tb 0.000 0.500 0.000
Ga1 Ga 0.000 0.000 0.606
Pb1 Pb 0.500 0.500 0.560
O1 O 0.000 0.000 0.259
O2 O 0.237 0.237 0.765
O3 O 0.500 0.500 0.145

***

[6]
# PBE GeP2IrCl, relaxed
# Excess energy over the best structure of this formula in the dataset: 0.00 eV/f.u.
# N(E_F): 0.714 states/eV per atom
# Calculated total energy: -23.38 eV per formula unit
# ΔE_f (raw): 0.554 eV/atom
data_GeP2IrCl
_cell_length_a 4.526
_cell_length_b 4.526
_cell_length_c 5.294
_cell_angle_alpha 90.00
_cell_angle_beta 90.00
_cell_angle_gamma 90.00
_space_group_name_H-M_alt 'P 4/m m m'
_space_group_IT_number 123
_space_group_name_Hall '-P 4 2'
loop_
_atom_site_label
_atom_site_type_symbol
_atom_site_fract_x
_atom_site_fract_y
_atom_site_fract_z
Ge1 Ge 0.000 0.000 0.000
P1 P 0.000 0.500 0.500
Ir1 Ir 0.500 0.500 0.500
Cl1 Cl 0.500 0.500 0.000

***

[7]
# PBE CsK2HgAu, relaxed
# Formation energy: 43.7 kJ/mol of atoms
# Excess energy over the best structure of this formula in the dataset: 2.96 eV/f.u.
# N(E_F): 0.167 states/eV per atom
# Calculated total energy: -4.36 eV per formula unit
data_CsK2HgAu
_cell_length_a 7.938
_cell_length_b 7.938
_cell_length_c 7.086
_cell_angle_alpha 90.00
_cell_angle_beta 90.00
_cell_angle_gamma 90.00
_space_group_name_H-M_alt 'P 4/m m m'
_space_group_IT_number 123
_space_group_name_Hall '-P 4 2'
loop_
_atom_site_label
_atom_site_type_symbol
_atom_site_fract_x
_atom_site_fract_y
_atom_site_fract_z
Cs1 Cs 0.000 0.000 0.000
K1 K 0.000 0.500 0.000
Hg1 Hg 0.000 0.000 0.500
Au1 Au 0.500 0.500 0.500

***

[8]
# PBE Pr2AgAs4Pt3, relaxed
# Formation energy: -76.8 kJ/mol of atoms
# N(E_F): 0.337 states/eV per atom
# Calculated total energy: -57.09 eV per formula unit
data_Pr2AgAs4Pt3
_cell_length_a 4.511
_cell_length_b 4.511
_cell_length_c 10.008
_cell_angle_alpha 90.00
_cell_angle_beta 90.00
_cell_angle_gamma 90.00
_space_group_name_H-M_alt 'P -4 m 2'
_space_group_IT_number 115
_space_group_name_Hall 'P -4 -2'
loop_
_atom_site_label
_atom_site_type_symbol
_atom_site_fract_x
_atom_site_fract_y
_atom_site_fract_z
Pr1 Pr 0.000 0.500 0.245
Ag1 Ag 0.000 0.000 0.500
As1 As 0.000 0.000 0.000
As2 As 0.000 0.500 0.636
As3 As 0.500 0.500 0.000
Pt1 Pt 0.000 0.500 0.884
Pt2 Pt 0.500 0.500 0.500

***

What is the formula in the third record? ZnSiI3

***

Among the records above, which one has the lowest N(E_F)? CsK2HgAu

***

What is the formula in the eighth record? Pr2AgAs4Pt3

***

Which formula does entry 7 have? CsK2HgAu